Density functional theory data (PBE) for an optimized crystal structure of Ba2AsPd2.

As for the excess energy over the best structure of this formula in the dataset: 0.177 eV per atom. For the total energy, the calculation gives -0.3179 Ry per atom. The density of states at the Fermi level comes out at 2.6 states/eV/f.u. The calculation puts the calculated formation energy at -549 meV/atom.

The structure belongs to space group I4/mmm (No. 139); the cell edges are 3.9165, 3.9165 and 18.5758 Å and the angles 90.00°, 90.00° and 90.00°. The distinct sites, in fractional coordinates, are Ba at (0.0000, 0.0000, 0.1062), As at (0.0000, 0.0000, 0.5000) and Pd at (0.0000, 0.5000, 0.2500).

---

Density functional theory data (PBE) for an optimized crystal structure of LiLaHfCu2.

For the total energy, the calculation gives -0.3347 Ry per atom. The density of states at the Fermi level comes out at 5.3 states/eV/f.u. The calculation puts the calculated formation energy at 444 meV/atom.

The structure belongs to space group P4/mmm (No. 123); the cell edges are 4.5080, 4.5080 and 4.7631 Å and the angles 90.00°, 90.00° and 90.00°. The distinct sites, in fractional coordinates, are Li at (0.0000, 0.0000, 0.0000), La at (0.5000, 0.5000, 0.5000), Hf at (0.0000, 0.0000, 0.5000) and Cu at (0.0000, 0.5000, 0.0000).

---

Density functional theory data (PBE) for an optimized crystal structure of Ca2Mg5Ag4.

For the total energy, the calculation gives -0.1682 Ry per atom. The density of states at the Fermi level comes out at 4.7 states/eV/f.u. The calculation puts the calculated formation energy at -163 meV/atom.

The structure belongs to space group Fmmm (No. 69); the cell edges are 5.9424, 9.8323 and 18.0445 Å and the angles 90.00°, 90.00° and 90.00°. The distinct sites, in fractional coordinates, are Ca at (0.0000, 0.0000, 0.1297), Mg at (0.0000, 0.0000, 0.5000), Mg at (0.2500, 0.2500, 0.0000), Mg at (0.2500, 0.2500, 0.2500) and Ag at (0.0000, 0.1572, 0.3712).

---

Density functional theory data (PBE) for an optimized crystal structure of Ce2MgTc.

For the total energy, the calculation gives -0.4415 Ry per atom. The density of states at the Fermi level comes out at 5.2 states/eV/f.u. The calculation puts the calculated formation energy at -50 meV/atom.

The structure belongs to space group P2_1/c (No. 14); the cell edges are 10.2268, 7.0813 and 5.3194 Å and the angles 90.00°, 103.51° and 90.00°. The distinct sites, in fractional coordinates, are Ce at (0.0911, 0.0900, 0.2910), Ce at (0.3521, 0.6325, 0.9028), Mg at (0.3618, 0.1294, 0.9098) and Tc at (0.1515, 0.6469, 0.3161).

---

Density functional theory data (PBE) for an optimized crystal structure of SbAu5.

For the total energy, the calculation gives -0.2485 Ry per atom. The density of states at the Fermi level comes out at 1.9 states/eV/f.u. The energy relative to the elements, uncorrected is 38 meV/atom.

The structure belongs to space group Cmmm (No. 65); the cell edges are 4.3848, 12.3882 and 4.2686 Å and the angles 90.00°, 90.00° and 90.00°. The distinct sites, in fractional coordinates, are Sb at (0.0000, 0.0000, 0.0000), Au at (0.0000, 0.1708, 0.5000), Au at (0.0000, 0.3321, 0.0000) and Au at (0.0000, 0.5000, 0.5000).

---

Density functional theory data (PBE) for an optimized crystal structure of PmHo3Tl4.

As for the excess energy over the best structure of this formula in the dataset: 0.000 eV per atom. For the total energy, the calculation gives -0.2818 Ry per atom. The density of states at the Fermi level comes out at 6.2 states/eV/f.u. The calculation puts the calculated formation energy at -341 meV/atom.

The structure belongs to space group Pmma (No. 51); the cell edges are 10.8182, 7.5436 and 5.4077 Å and the angles 90.00°, 90.00° and 90.00°. The distinct sites, in fractional coordinates, are Pm at (0.0000, 0.0000, 0.0000), Ho at (0.0000, 0.5000, 0.0000), Ho at (0.2500, 0.0000, 0.4985), Ho at (0.2500, 0.5000, 0.4983), Tl at (0.0000, 0.2554, 0.5000) and Tl at (0.2500, 0.2552, 0.9981).

---

Number 1: M_tot 0.000 μB/f.u.. Number 2: M_tot 0.000 μB/f.u.. Number 3: M_tot 0.000 μB/f.u.. Number 4: M_tot 0.188 μB/f.u.. Number 5: M_tot 0.000 μB/f.u.. Number 6: M_tot 0.000 μB/f.u..